(1)
{"formula": "Ac2Ge2Se", "functional": "PBE-GGA", "state": "relaxed", "spacegroup": "No. 12", "energy_ev_per_atom": -5.351, "crystal_system": "monoclinic", "lattice_angstrom": [[3.8695, -2.2687, 0.0000], [3.8695, 2.2687, 0.0000], [-2.5395, 0.0000, 8.1982]], "species": ["Ac", "Ac", "Ge", "Ge", "Se"], "fractional_positions": [[0.0874, 0.0874, 0.2616], [0.9126, 0.9126, 0.7384], [0.3278, 0.3278, 0.9854], [0.6722, 0.6722, 0.0146], [0.5000, 0.5000, 0.5000]]}



(2)
{"formula": "AcGeSe3", "functional": "PBE-GGA", "state": "relaxed", "spacegroup": "No. 33", "energy_ev_per_atom": -4.942, "crystal_system": "orthorhombic", "relative_energy_ev_per_atom": 0.000, "lattice_angstrom": [[8.5299, 0.0000, 0.0000], [0.0000, 6.8235, 0.0000], [0.0000, 0.0000, 9.6096]], "species": ["Ac", "Ac", "Ac", "Ac", "Ge", "Ge", "Ge", "Ge", "Se", "Se", "Se", "Se", "Se", "Se", "Se", "Se", "Se", "Se", "Se", "Se"], "fractional_positions": [[0.1108, 0.0494, 0.0000], [0.3892, 0.5494, 0.5000], [0.6108, 0.4506, 0.0000], [0.8892, 0.9506, 0.5000], [0.0753, 0.5304, 0.2297], [0.4247, 0.0304, 0.7297], [0.5753, 0.9696, 0.2297], [0.9247, 0.4696, 0.7297], [0.0261, 0.4064, 0.4847], [0.1794, 0.8487, 0.2999], [0.1833, 0.8379, 0.7001], [0.3167, 0.3379, 0.2001], [0.3206, 0.3487, 0.7999], [0.4739, 0.9064, 0.9847], [0.5261, 0.0936, 0.4847], [0.6794, 0.6513, 0.2999], [0.6833, 0.6621, 0.7001], [0.8167, 0.1621, 0.2001], [0.8206, 0.1513, 0.7999], [0.9739, 0.5936, 0.9847]]}



(3)
{"formula": "Ac8Ge5Se3", "functional": "PBE-GGA", "state": "relaxed", "spacegroup": "No. 166", "energy_ev_per_atom": -5.312, "crystal_system": "trigonal", "lattice_angstrom": [[4.5612, 2.6334, 7.5007], [-4.5612, 2.6334, 7.5007], [0.0000, -5.2668, 7.5007]], "species": ["Ac", "Ac", "Ac", "Ac", "Ac", "Ac", "Ac", "Ac", "Ge", "Ge", "Ge", "Ge", "Ge", "Se", "Se", "Se"], "fractional_positions": [[0.2465, 0.2465, 0.2465], [0.2467, 0.7501, 0.7501], [0.2499, 0.2499, 0.7533], [0.2499, 0.7533, 0.2499], [0.7501, 0.2467, 0.7501], [0.7501, 0.7501, 0.2467], [0.7533, 0.2499, 0.2499], [0.7535, 0.7535, 0.7535], [0.0000, 0.0000, 0.0000], [0.0000, 0.0000, 0.5000], [0.0000, 0.5000, 0.0000], [0.5000, 0.0000, 0.0000], [0.5000, 0.5000, 0.5000], [0.0000, 0.5000, 0.5000], [0.5000, 0.0000, 0.5000], [0.5000, 0.5000, 0.0000]]}



(4)
{"formula": "AcGe2Se3", "functional": "PBE-GGA", "state": "relaxed", "spacegroup": "No. 11", "energy_ev_per_atom": -4.752, "crystal_system": "monoclinic", "lattice_angstrom": [[8.3997, 0.0000, 0.0000], [0.0000, 4.3526, 0.0000], [-3.0451, 0.0000, 8.9580]], "species": ["Ac", "Ac", "Ge", "Ge", "Ge", "Ge", "Se", "Se", "Se", "Se", "Se", "Se"], "fractional_positions": [[0.0091, 0.2500, 0.2642], [0.9909, 0.7500, 0.7358], [0.3219, 0.7500, 0.4519], [0.4324, 0.2500, 0.9295], [0.5676, 0.7500, 0.0705], [0.6781, 0.2500, 0.5481], [0.1557, 0.2500, 0.9785], [0.1888, 0.2500, 0.6154], [0.4316, 0.2500, 0.3240], [0.5684, 0.7500, 0.6760], [0.8112, 0.7500, 0.3846], [0.8443, 0.7500, 0.0215]]}



(5)
{"formula": "AcGeSe3", "functional": "PBE-GGA", "state": "relaxed", "spacegroup": "No. 221", "energy_ev_per_atom": -4.753, "crystal_system": "cubic", "relative_energy_ev_per_atom": 0.189, "lattice_angstrom": [[5.0727, 0.0000, 0.0000], [0.0000, 5.0727, 0.0000], [0.0000, 0.0000, 5.0727]], "species": ["Ac", "Ge", "Se", "Se", "Se"], "fractional_positions": [[0.0000, 0.0000, 0.0000], [0.5000, 0.5000, 0.5000], [0.0000, 0.5000, 0.5000], [0.5000, 0.0000, 0.5000], [0.5000, 0.5000, 0.0000]]}



(6)
{"formula": "Ac6GeSe4", "functional": "PBE-GGA", "state": "relaxed", "spacegroup": "No. 63", "energy_ev_per_atom": -5.399, "crystal_system": "orthorhombic", "lattice_angstrom": [[2.2210, -7.2509, 0.0000], [2.2210, 7.2509, 0.0000], [0.0000, 0.0000, 22.8853]], "species": ["Ac", "Ac", "Ac", "Ac", "Ac", "Ac", "Ac", "Ac", "Ac", "Ac", "Ac", "Ac", "Ge", "Ge", "Se", "Se", "Se", "Se", "Se", "Se", "Se", "Se"], "fractional_positions": [[0.0000, 0.0000, 0.0000], [0.0000, 0.0000, 0.5000], [0.1693, 0.8307, 0.7500], [0.2731, 0.7269, 0.0899], [0.2731, 0.7269, 0.4101], [0.4384, 0.5616, 0.6685], [0.4384, 0.5616, 0.8315], [0.5616, 0.4384, 0.1685], [0.5616, 0.4384, 0.3315], [0.7269, 0.2731, 0.5899], [0.7269, 0.2731, 0.9101], [0.8307, 0.1693, 0.2500], [0.1696, 0.8304, 0.2500], [0.8304, 0.1696, 0.7500], [0.0831, 0.9169, 0.6249], [0.0831, 0.9169, 0.8751], [0.3600, 0.6400, 0.5380], [0.3600, 0.6400, 0.9620], [0.6400, 0.3600, 0.0380], [0.6400, 0.3600, 0.4620], [0.9169, 0.0831, 0.1249], [0.9169, 0.0831, 0.3751]]}



(7)
{"formula": "Ac3Ge2Se", "functional": "PBE-GGA", "state": "relaxed", "spacegroup": "No. 12", "energy_ev_per_atom": -5.261, "crystal_system": "monoclinic", "lattice_angstrom": [[7.9439, -2.3736, 0.0000], [7.9439, 2.3736, 0.0000], [-1.7947, 0.0000, 10.5851]], "species": ["Ac", "Ac", "Ac", "Ac", "Ac", "Ac", "Ge", "Ge", "Ge", "Ge", "Se", "Se"], "fractional_positions": [[0.0299, 0.0299, 0.3001], [0.3070, 0.3070, 0.3799], [0.3618, 0.3618, 0.9975], [0.6382, 0.6382, 0.0025], [0.6930, 0.6930, 0.6201], [0.9701, 0.9701, 0.6999], [0.1825, 0.1825, 0.8127], [0.3258, 0.3258, 0.6956], [0.6742, 0.6742, 0.3044], [0.8175, 0.8175, 0.1873], [0.0000, 0.0000, 0.0000], [0.5000, 0.5000, 0.5000]]}



(8)
{"formula": "Ac4Ge2Se", "functional": "PBE-GGA", "state": "relaxed", "spacegroup": "No. 11", "energy_ev_per_atom": -4.892, "crystal_system": "monoclinic", "relative_energy_ev_per_atom": 0.232, "lattice_angstrom": [[7.9881, 0.0000, 0.0000], [0.0000, 7.6517, 0.0000], [-2.4965, 0.0000, 8.6594]], "species": ["Ac", "Ac", "Ac", "Ac", "Ac", "Ac", "Ac", "Ac", "Ge", "Ge", "Ge", "Ge", "Se", "Se"], "fractional_positions": [[0.0093, 0.2500, 0.1130], [0.0141, 0.2500, 0.6463], [0.4803, 0.5063, 0.2478], [0.4803, 0.9937, 0.2478], [0.5197, 0.0063, 0.7522], [0.5197, 0.4937, 0.7522], [0.9859, 0.7500, 0.3537], [0.9907, 0.7500, 0.8870], [0.2945, 0.2500, 0.4484], [0.3236, 0.2500, 0.9555], [0.6764, 0.7500, 0.0445], [0.7055, 0.7500, 0.5516], [0.2195, 0.7500, 0.6741], [0.7805, 0.2500, 0.3259]]}



(9)
{"formula": "Ac2Ge2Se5", "functional": "PBE-GGA", "state": "relaxed", "spacegroup": "No. 12", "energy_ev_per_atom": -4.983, "crystal_system": "monoclinic", "lattice_angstrom": [[7.3800, -2.6520, 0.0000], [7.3800, 2.6520, 0.0000], [-4.1167, 0.0000, 7.0999]], "species": ["Ac", "Ac", "Ge", "Ge", "Se", "Se", "Se", "Se", "Se"], "fractional_positions": [[0.1132, 0.1132, 0.2753], [0.8868, 0.8868, 0.7247], [0.3553, 0.3553, 0.1501], [0.6447, 0.6447, 0.8499], [0.1477, 0.1477, 0.9278], [0.3518, 0.3518, 0.4821], [0.5000, 0.5000, 0.0000], [0.6482, 0.6482, 0.5179], [0.8523, 0.8523, 0.0722]]}



(10)
{"formula": "Ac3Ge2Se8", "functional": "PBE-GGA", "state": "relaxed", "spacegroup": "No. 166", "energy_ev_per_atom": -4.920, "crystal_system": "trigonal", "lattice_angstrom": [[3.5690, 2.0606, 8.6543], [-3.5690, 2.0606, 8.6543], [0.0000, -4.1212, 8.6543]], "species": ["Ac", "Ac", "Ac", "Ge", "Ge", "Se", "Se", "Se", "Se", "Se", "Se", "Se", "Se"], "fractional_positions": [[0.0000, 0.0000, 0.0000], [0.2085, 0.2085, 0.2085], [0.7915, 0.7915, 0.7915], [0.4128, 0.4128, 0.4128], [0.5872, 0.5872, 0.5872], [0.1896, 0.7491, 0.7491], [0.2509, 0.2509, 0.8104], [0.2509, 0.8104, 0.2509], [0.3205, 0.3205, 0.3205], [0.6795, 0.6795, 0.6795], [0.7491, 0.1896, 0.7491], [0.7491, 0.7491, 0.1896], [0.8104, 0.2509, 0.2509]]}



(11)
{"formula": "Ac2GeSe3", "functional": "PBE-GGA", "state": "relaxed", "spacegroup": "No. 71", "energy_ev_per_atom": -5.225, "crystal_system": "orthorhombic", "lattice_angstrom": [[-2.0429, 2.6101, 8.3177], [2.0429, -2.6101, 8.3177], [2.0429, 2.6101, -8.3177]], "species": ["Ac", "Ac", "Ge", "Se", "Se", "Se"], "fractional_positions": [[0.1409, 0.1409, 0.0000], [0.8591, 0.8591, 0.0000], [0.5000, 0.5000, 0.0000], [0.0000, 0.5000, 0.5000], [0.3285, 0.3285, 0.0000], [0.6715, 0.6715, 0.0000]]}



(12)
{"formula": "AcGe2Se4", "functional": "PBE-GGA", "state": "relaxed", "spacegroup": "No. 87", "energy_ev_per_atom": -4.501, "crystal_system": "tetragonal", "lattice_angstrom": [[-3.9616, 3.9616, 3.2945], [3.9616, -3.9616, 3.2945], [3.9616, 3.9616, -3.2945]], "species": ["Ac", "Ge", "Ge", "Se", "Se", "Se", "Se"], "fractional_positions": [[0.0000, 0.0000, 0.0000], [0.2500, 0.7500, 0.5000], [0.7500, 0.2500, 0.5000], [0.2024, 0.6641, 0.8665], [0.3359, 0.2024, 0.5383], [0.6641, 0.7976, 0.4617], [0.7976, 0.3359, 0.1335]]}



(13)
{"formula": "Ac4Ge2Se", "functional": "PBE-GGA", "state": "relaxed", "spacegroup": "No. 122", "energy_ev_per_atom": -5.124, "crystal_system": "tetragonal", "relative_energy_ev_per_atom": 0.000, "lattice_angstrom": [[-4.8388, 4.8388, 4.8635], [4.8388, -4.8388, 4.8635], [4.8388, 4.8388, -4.8635]], "species": ["Ac", "Ac", "Ac", "Ac", "Ac", "Ac", "Ac", "Ac", "Ge", "Ge", "Ge", "Ge", "Se", "Se"], "fractional_positions": [[0.1274, 0.2430, 0.7441], [0.1333, 0.7489, 0.7559], [0.2511, 0.0070, 0.3844], [0.4989, 0.3833, 0.2559], [0.6167, 0.8726, 0.1156], [0.6226, 0.8667, 0.6156], [0.7570, 0.5011, 0.8844], [0.9930, 0.3774, 0.2441], [0.2476, 0.6250, 0.1226], [0.3750, 0.4976, 0.6226], [0.5024, 0.1250, 0.8774], [0.8750, 0.7524, 0.3774], [0.0000, 0.0000, 0.0000], [0.7500, 0.2500, 0.5000]]}



(14)
{"formula": "Ac2GeSe4", "functional": "PBE-GGA", "state": "relaxed", "spacegroup": "No. 139", "energy_ev_per_atom": -5.129, "crystal_system": "tetragonal", "lattice_angstrom": [[-3.6058, 3.6058, 4.0216], [3.6058, -3.6058, 4.0216], [3.6058, 3.6058, -4.0216]], "species": ["Ac", "Ac", "Ge", "Se", "Se", "Se", "Se"], "fractional_positions": [[0.2500, 0.7500, 0.5000], [0.7500, 0.2500, 0.5000], [0.0000, 0.0000, 0.0000], [0.2594, 0.2594, 0.5187], [0.2594, 0.7406, 0.0000], [0.7406, 0.2594, 0.0000], [0.7406, 0.7406, 0.4813]]}



(15)
{"formula": "AcGe6Se8", "functional": "PBE-GGA", "state": "relaxed", "spacegroup": "No. 148", "energy_ev_per_atom": -4.422, "crystal_system": "trigonal", "lattice_angstrom": [[4.9855, 2.8784, 4.9037], [-4.9855, 2.8784, 4.9037], [0.0000, -5.7567, 4.9037]], "species": ["Ac", "Ge", "Ge", "Ge", "Ge", "Ge", "Ge", "Se", "Se", "Se", "Se", "Se", "Se", "Se", "Se"], "fractional_positions": [[0.0000, 0.0000, 0.0000], [0.1535, 0.3598, 0.5912], [0.3598, 0.5912, 0.1535], [0.4088, 0.8465, 0.6402], [0.5912, 0.1535, 0.3598], [0.6402, 0.4088, 0.8465], [0.8465, 0.6402, 0.4088], [0.1350, 0.7915, 0.3527], [0.2085, 0.6473, 0.8650], [0.2683, 0.2683, 0.2683], [0.3527, 0.1350, 0.7915], [0.6473, 0.8650, 0.2085], [0.7317, 0.7317, 0.7317], [0.7915, 0.3527, 0.1350], [0.8650, 0.2085, 0.6473]]}



(16)
{"formula": "Ac3GeSe6", "functional": "PBE-GGA", "state": "relaxed", "spacegroup": "No. 36", "energy_ev_per_atom": -5.344, "crystal_system": "orthorhombic", "lattice_angstrom": [[5.9946, -7.4932, 0.0000], [5.9946, 7.4932, 0.0000], [0.0000, 0.0000, 7.3674]], "species": ["Ac", "Ac", "Ac", "Ac", "Ac", "Ac", "Ge", "Ge", "Se", "Se", "Se", "Se", "Se", "Se", "Se", "Se", "Se", "Se", "Se", "Se"], "fractional_positions": [[0.1045, 0.8955, 0.5000], [0.2132, 0.4151, 0.5675], [0.4151, 0.2132, 0.0675], [0.5849, 0.7868, 0.5675], [0.7868, 0.5849, 0.0675], [0.8955, 0.1045, 0.0000], [0.3062, 0.6938, 0.1183], [0.6938, 0.3062, 0.6183], [0.0762, 0.5976, 0.2818], [0.1387, 0.1810, 0.2846], [0.1810, 0.1387, 0.7846], [0.2832, 0.7168, 0.7603], [0.4024, 0.9238, 0.2818], [0.4638, 0.5362, 0.2615], [0.5362, 0.4638, 0.7615], [0.5976, 0.0762, 0.7818], [0.7168, 0.2832, 0.2603], [0.8190, 0.8613, 0.2846], [0.8613, 0.8190, 0.7846], [0.9238, 0.4024, 0.7818]]}



(17)
{"formula": "Ac4GeSe2", "functional": "PBE-GGA", "state": "relaxed", "spacegroup": "No. 63", "energy_ev_per_atom": -5.246, "crystal_system": "orthorhombic", "lattice_angstrom": [[2.2036, -7.1662, 0.0000], [2.2036, 7.1662, 0.0000], [0.0000, 0.0000, 15.3658]], "species": ["Ac", "Ac", "Ac", "Ac", "Ac", "Ac", "Ac", "Ac", "Ge", "Ge", "Se", "Se", "Se", "Se"], "fractional_positions": [[0.0000, 0.0000, 0.0000], [0.0000, 0.0000, 0.5000], [0.2874, 0.7126, 0.6282], [0.2874, 0.7126, 0.8718], [0.4421, 0.5579, 0.2500], [0.5579, 0.4421, 0.7500], [0.7126, 0.2874, 0.1282], [0.7126, 0.2874, 0.3718], [0.1027, 0.8973, 0.2500], [0.8973, 0.1027, 0.7500], [0.3569, 0.6431, 0.0635], [0.3569, 0.6431, 0.4365], [0.6431, 0.3569, 0.5635], [0.6431, 0.3569, 0.9365]]}



(18)
{"formula": "Ac6Si2GeSe3", "functional": "PBE-GGA", "state": "relaxed", "spacegroup": "No. 12", "energy_ev_per_atom": -5.502, "crystal_system": "monoclinic", "lattice_angstrom": [[9.9412, -2.2805, 0.0000], [9.9412, 2.2805, 0.0000], [-2.0932, 0.0000, 8.8861]], "species": ["Ac", "Ac", "Ac", "Ac", "Ac", "Ac", "Si", "Si", "Ge", "Se", "Se", "Se"], "fractional_positions": [[0.0030, 0.0030, 0.2445], [0.3303, 0.3303, 0.4241], [0.3355, 0.3355, 0.9088], [0.6645, 0.6645, 0.0912], [0.6697, 0.6697, 0.5759], [0.9970, 0.9970, 0.7555], [0.1666, 0.1666, 0.3334], [0.8334, 0.8334, 0.6666], [0.5000, 0.5000, 0.0000], [0.1666, 0.1666, 0.8332], [0.5000, 0.5000, 0.5000], [0.8334, 0.8334, 0.1668]]}



(19)
{"formula": "Ac4SiGeSe2", "functional": "PBE-GGA", "state": "relaxed", "spacegroup": "No. 10", "energy_ev_per_atom": -5.486, "crystal_system": "monoclinic", "lattice_angstrom": [[7.8971, 0.0000, 0.0000], [0.0000, 4.5672, 0.0000], [-2.6383, 0.0000, 7.4570]], "species": ["Ac", "Ac", "Ac", "Ac", "Si", "Ge", "Se", "Se"], "fractional_positions": [[0.2373, 0.0000, 0.2446], [0.2380, 0.5000, 0.7469], [0.7620, 0.5000, 0.2531], [0.7627, 0.0000, 0.7554], [0.0000, 0.5000, 0.0000], [0.0000, 0.0000, 0.5000], [0.5000, 0.0000, 0.0000], [0.5000, 0.5000, 0.5000]]}



(20)
{"formula": "Ac4SnGeSe2", "functional": "PBE-GGA", "state": "relaxed", "spacegroup": "No. 74", "energy_ev_per_atom": -5.310, "crystal_system": "orthorhombic", "lattice_angstrom": [[-4.6207, 4.6285, 6.5508], [4.6207, -4.6285, 6.5508], [4.6207, 4.6285, -6.5508]], "species": ["Ac", "Ac", "Ac", "Ac", "Ac", "Ac", "Ac", "Ac", "Sn", "Sn", "Ge", "Ge", "Se", "Se", "Se", "Se"], "fractional_positions": [[0.2484, 0.2454, 0.0030], [0.2508, 0.2423, 0.4915], [0.2508, 0.7593, 0.0085], [0.2575, 0.7546, 0.5030], [0.7425, 0.2454, 0.4970], [0.7492, 0.2407, 0.9915], [0.7492, 0.7577, 0.5085], [0.7516, 0.7546, 0.9970], [0.0000, 0.0000, 0.5000], [0.0000, 0.5000, 0.0000], [0.0000, 0.0000, 0.0000], [0.5000, 0.0000, 0.5000], [0.0000, 0.5000, 0.5000], [0.5000, 0.0000, 0.0000], [0.5000, 0.5000, 0.0000], [0.5000, 0.5000, 0.5000]]}